# 1
An optimized crystal structure of TaCoRh2, computed with GGA-PBE.

The structure in extended XYZ format:
```
4
Lattice="-3.484 1.573 -2.533 3.398 -0.922 -2.938 -0.985 -2.670 -0.302" Properties=species:S:1:pos:R:3 pbc="T T T"
Co 1.207 -1.796 -1.620
Ta -2.235 -0.549 -1.418
Rh -0.043 0.326 -2.735
Rh 0.000 0.000 0.000
```

Output
**Energy of formation**: -236 meV/atom

***

# 2
An optimized crystal structure of Co2SiAg, computed with GGA-PBE.

The structure in extended XYZ format:
```
4
Lattice="-2.608 -2.431 -3.372 -0.487 -4.825 0.753 -0.874 4.521 1.696" Properties=species:S:1:pos:R:3 pbc="T T T"
Si -2.514 -0.769 -1.493
Co -2.992 -7.015 -2.533
Ag -1.454 -1.966 0.569
Co -1.650 -3.869 -1.397
```

Output
**ΔE_f (raw)**: 112 meV per atom

***

# 3
An optimized crystal structure of TbNdEuAl, computed with GGA-PBE.

The structure in extended XYZ format:
```
4
Lattice="5.477 0.000 0.000 2.739 4.743 0.000 2.739 1.581 4.472" Properties=species:S:1:pos:R:3 pbc="T T T"
Al 2.739 1.581 1.118
Tb 0.000 0.000 0.000
Nd 5.477 3.162 2.236
Eu 8.216 4.743 3.354
```

Output
**Energy of formation**: -43 meV/atom

***

no.,E (eV/cell)
1,-34.607
2,-22.040
3,-23.585